Record 1
Here is crystalline GdHoZnGe at its relaxed geometry from the Alexandria database. Energies are from PBE-GGA.

```
4
Lattice="5.0337 0.0000 0.0000 2.5169 4.3593 0.0000 2.5169 1.4531 4.1100" Properties=species:S:1:pos:R:3 pbc="T T T"
Gd 5.0337 2.9062 2.0550
Ge 7.5506 4.3593 3.0825
Zn 2.5169 1.4531 1.0275
Ho 0.0000 0.0000 0.0000
```

Calculated values
As for the space group: No. 216. The calculation puts the total DFT energy (no corrections) at -6.666 eV per atom. Its density of states at the Fermi level is 3.07 states/eV per cell. Its energy relative to the elements is -0.53 eV/atom.

***

Record 2
Here is crystalline GdInGe at its relaxed geometry from the Alexandria database. Energies are from PBE-GGA.

```
3
Lattice="-0.8159 1.5820 3.1392 0.9730 -2.9951 1.7623 5.1217 2.6230 -2.0649" Properties=species:S:1:pos:R:3 pbc="T T T"
Gd 1.3666 -0.2319 2.5463
In 4.5375 0.9367 2.7816
Ge 3.0935 1.1400 0.2295
```

Calculated values
As for the space group: No. 107. The calculation puts the total DFT energy (no corrections) at -7.479 eV per atom. Its density of states at the Fermi level is 1.70 states/eV per cell. Its energy relative to the elements is -0.33 eV/atom.

***

Record 3
Here is crystalline GdIn2Ge at its relaxed geometry from the Alexandria database. Energies are from PBE-GGA.

```
4
Lattice="-1.4470 0.5986 3.0517 1.7793 -0.5531 2.8798 3.7562 10.2700 1.6943" Properties=species:S:1:pos:R:3 pbc="T T T"
In 2.6951 7.2851 1.7766
In 1.3934 3.0304 5.8491
Gd 0.0000 0.0000 0.0000
Ge 2.0443 5.1577 3.8129
```

Calculated values
As for the space group: No. 166. The calculation puts the total DFT energy (no corrections) at -5.865 eV per atom. Its density of states at the Fermi level is 2.83 states/eV per cell. Its energy relative to the elements is 0.18 eV/atom.

***

Record 4
Here is crystalline Gd2InGe at its relaxed geometry from the Alexandria database. Energies are from PBE-GGA.

```
4
Lattice="-4.6732 0.0580 2.4025 -0.8084 -2.9879 4.2466 -0.4951 2.2355 4.7299" Properties=species:S:1:pos:R:3 pbc="T T T"
In 0.0000 0.0000 0.0000
Gd -4.4826 -0.5208 8.5343
Gd -1.4942 -0.1736 2.8448
Ge -2.9884 -0.3472 5.6896
```

Calculated values
As for the space group: No. 225. The calculation puts the total DFT energy (no corrections) at -9.390 eV per atom. Its density of states at the Fermi level is 3.40 states/eV per cell. Its energy relative to the elements is -0.51 eV/atom.

***

Record 5
Here is crystalline Gd2InGe at its relaxed geometry from the Alexandria database. Energies are from PBE-GGA.

```
4
Lattice="3.8567 0.0000 0.0000 0.0000 3.8567 0.0000 0.0000 0.0000 6.7916" Properties=species:S:1:pos:R:3 pbc="T T T"
Ge 1.9283 1.9283 0.0000
Gd 0.0000 0.0000 5.2433
Gd 0.0000 0.0000 1.5483
In 1.9283 1.9283 3.3958
```

Calculated values
As for the space group: No. 123. The calculation puts the total DFT energy (no corrections) at -9.456 eV per atom. Its density of states at the Fermi level is 3.75 states/eV per cell. Its energy relative to the elements is -0.58 eV/atom.

***

Record 6
Here is crystalline GdInGe at its relaxed geometry from the Alexandria database. Energies are from PBE-GGA.

```
3
Lattice="4.6353 0.0000 0.0000 0.0000 4.3569 0.0000 0.0000 -2.1784 3.7732" Properties=species:S:1:pos:R:3 pbc="T T T"
Gd 2.9420 2.1785 1.2577
In 0.2983 0.0000 0.0000
Ge 1.3950 0.0000 2.5155
```

Calculated values
As for the space group: No. 156. The calculation puts the total DFT energy (no corrections) at -7.630 eV per atom. Its density of states at the Fermi level is 2.38 states/eV per cell. Its energy relative to the elements is -0.48 eV/atom.

***

Record 7
Here is crystalline Gd2InGe at its relaxed geometry from the Alexandria database. Energies are from PBE-GGA.

```
4
Lattice="-3.9174 1.5406 0.9541 -1.9193 -4.3441 -0.8657 0.6513 -1.2100 4.6278" Properties=species:S:1:pos:R:3 pbc="T T T"
Gd 0.3256 -0.6050 2.3139
Gd -0.9597 -2.1721 -0.4328
Ge -1.9587 0.7703 0.4771
In -2.5927 -2.0067 2.3581
```

Calculated values
As for the space group: No. 123. The calculation puts the total DFT energy (no corrections) at -9.439 eV per atom. Its density of states at the Fermi level is 3.28 states/eV per cell. Its energy relative to the elements is -0.56 eV/atom.

***

Record 8
Here is crystalline GdIn2Ge at its relaxed geometry from the Alexandria database. Energies are from PBE-GGA.

```
4
Lattice="-2.8309 -1.7804 3.6396 -2.8815 -1.4575 -2.9542 2.1373 -3.8138 -0.2032" Properties=species:S:1:pos:R:3 pbc="T T T"
In 1.0687 -1.9069 -0.1016
In -1.4407 -0.7287 -1.4771
Gd -1.7875 -3.5258 0.2411
Ge -1.4155 -0.8902 1.8198
```

Calculated values
As for the space group: No. 123. The calculation puts the total DFT energy (no corrections) at -6.474 eV per atom. Its density of states at the Fermi level is 2.01 states/eV per cell. Its energy relative to the elements is -0.43 eV/atom.

***

Record 9
Here is crystalline Gd2InGe at its relaxed geometry from the Alexandria database. Energies are from PBE-GGA.

```
4
Lattice="-1.9778 -2.2781 -2.8293 -2.0214 -3.4219 1.1452 -7.8872 2.3577 0.5921" Properties=species:S:1:pos:R:3 pbc="T T T"
In -5.9432 -1.6711 -0.5460
Gd -2.6881 -1.0197 -0.3229
Gd -9.1983 -2.3225 -0.7692
Ge 0.0000 0.0000 0.0000
```

Calculated values
As for the space group: No. 166. The calculation puts the total DFT energy (no corrections) at -9.362 eV per atom. Its density of states at the Fermi level is 4.30 states/eV per cell. Its energy relative to the elements is -0.48 eV/atom.

***

Record 10
Here is crystalline LiGdInGe at its relaxed geometry from the Alexandria database. Energies are from PBE-GGA.

```
4
Lattice="-0.2669 4.2127 -2.7315 -3.8952 3.1265 0.5753 0.6685 4.4703 2.2019" Properties=species:S:1:pos:R:3 pbc="T T T"
Gd 0.0000 0.0000 0.0000
Ge -0.8734 2.9524 0.0114
Li -1.7468 5.9048 0.0228
In -2.6202 8.8572 0.0343
```

Calculated values
As for the space group: No. 216. The calculation puts the total DFT energy (no corrections) at -6.214 eV per atom. Its density of states at the Fermi level is 2.64 states/eV per cell. Its energy relative to the elements is -0.38 eV/atom.

***

Record 11
Here is crystalline NaGdInGe at its relaxed geometry from the Alexandria database. Energies are from PBE-GGA.

```
4
Lattice="5.1868 0.0000 0.0000 2.5934 4.4919 0.0000 2.5934 1.4973 4.2350" Properties=species:S:1:pos:R:3 pbc="T T T"
In 7.7802 4.4919 3.1763
Ge 2.5934 1.4973 1.0588
Gd 0.0000 0.0000 0.0000
Na 5.1868 2.9946 2.1175
```

Calculated values
As for the space group: No. 216. The calculation puts the total DFT energy (no corrections) at -5.953 eV per atom. Its density of states at the Fermi level is 2.95 states/eV per cell. Its energy relative to the elements is -0.26 eV/atom.

***

Record 12
Here is crystalline NdGdInGe at its relaxed geometry from the Alexandria database. Energies are from PBE-GGA.

```
4
Lattice="5.3040 0.0000 0.0000 2.6520 4.5934 0.0000 2.6520 1.5311 4.3307" Properties=species:S:1:pos:R:3 pbc="T T T"
Ge 7.9560 4.5934 3.2480
In 2.6520 1.5311 1.0827
Nd 5.3040 3.0622 2.1653
Gd 0.0000 0.0000 0.0000
```

Calculated values
As for the space group: No. 216. The calculation puts the total DFT energy (no corrections) at -7.050 eV per atom. Its density of states at the Fermi level is 2.82 states/eV per cell. Its energy relative to the elements is -0.50 eV/atom.

***

Record 13
Here is crystalline PmGdInGe at its relaxed geometry from the Alexandria database. Energies are from PBE-GGA.

```
4
Lattice="5.2852 0.0000 0.0000 2.6426 4.5771 0.0000 2.6426 1.5257 4.3154" Properties=species:S:1:pos:R:3 pbc="T T T"
Gd 0.0000 0.0000 0.0000
Pm 5.2852 3.0514 2.1577
In 2.6426 1.5257 1.0788
Ge 7.9278 4.5771 3.2365
```

Calculated values
As for the space group: No. 216. The calculation puts the total DFT energy (no corrections) at -7.049 eV per atom. Its density of states at the Fermi level is 2.68 states/eV per cell. Its energy relative to the elements is -0.50 eV/atom.

***

Record 14
Here is crystalline PrGdInGe at its relaxed geometry from the Alexandria database. Energies are from PBE-GGA.

```
4
Lattice="-3.0000 4.3423 0.6975 -4.6644 0.4470 -2.5272 -4.5534 -0.3224 2.7395" Properties=species:S:1:pos:R:3 pbc="T T T"
Pr -6.1089 2.2334 0.4549
Ge -3.0545 1.1167 0.2275
In -9.1634 3.3502 0.6824
Gd 0.0000 0.0000 0.0000
```

Calculated values
As for the space group: No. 216. The calculation puts the total DFT energy (no corrections) at -7.049 eV per atom. Its density of states at the Fermi level is 2.88 states/eV per cell. Its energy relative to the elements is -0.49 eV/atom.

***

Record 15
Here is crystalline GdInGePt at its relaxed geometry from the Alexandria database. Energies are from PBE-GGA.

```
4
Lattice="4.9150 0.0000 0.0000 2.4575 4.2565 0.0000 2.4575 1.4188 4.0131" Properties=species:S:1:pos:R:3 pbc="T T T"
Gd 7.3725 4.2565 3.0098
Ge 4.9150 2.8377 2.0065
In 2.4575 1.4188 1.0033
Pt 0.0000 0.0000 0.0000
```

Calculated values
As for the space group: No. 216. The calculation puts the total DFT energy (no corrections) at -7.483 eV per atom. Its density of states at the Fermi level is 0.84 states/eV per cell. Its energy relative to the elements is -0.61 eV/atom.

***

Record 16
Here is crystalline GdPuInGe at its relaxed geometry from the Alexandria database. Energies are from PBE-GGA.

```
4
Lattice="5.2317 0.0000 0.0000 2.6158 4.5308 0.0000 2.6158 1.5103 4.2716" Properties=species:S:1:pos:R:3 pbc="T T T"
Pu 7.8475 4.5308 3.2037
Gd 2.6158 1.5103 1.0679
In 0.0000 0.0000 0.0000
Ge 5.2317 3.0205 2.1358
```

Calculated values
As for the space group: No. 216. The calculation puts the total DFT energy (no corrections) at -9.272 eV per atom. Its density of states at the Fermi level is 9.24 states/eV per cell. Its energy relative to the elements is -0.33 eV/atom.

***

Record 17
Here is crystalline SmGdInGe at its relaxed geometry from the Alexandria database. Energies are from PBE-GGA.

```
4
Lattice="-0.5947 -1.0907 5.1249 4.1493 -1.5404 2.8667 2.0373 3.2297 3.6368" Properties=species:S:1:pos:R:3 pbc="T T T"
In 4.1939 0.4490 8.7213
Gd 2.7959 0.2993 5.8142
Sm 0.0000 0.0000 0.0000
Ge 1.3980 0.1497 2.9071
```

Calculated values
As for the space group: No. 216. The calculation puts the total DFT energy (no corrections) at -7.040 eV per atom. Its density of states at the Fermi level is 2.64 states/eV per cell. Its energy relative to the elements is -0.50 eV/atom.

***

Record 18
Here is crystalline TbGdInGe at its relaxed geometry from the Alexandria database. Energies are from PBE-GGA.

```
4
Lattice="-4.6927 2.2865 0.4004 -4.3298 -2.6791 -1.2185 -3.3161 -1.4727 3.7742" Properties=species:S:1:pos:R:3 pbc="T T T"
Tb -3.0846 -0.4663 0.7390
In -6.1693 -0.9327 1.4781
Gd -9.2539 -1.3990 2.2171
Ge 0.0000 0.0000 0.0000
```

Calculated values
As for the space group: No. 216. The calculation puts the total DFT energy (no corrections) at -7.015 eV per atom. Its density of states at the Fermi level is 2.76 states/eV per cell. Its energy relative to the elements is -0.50 eV/atom.

***

Record 19
Here is crystalline GdYInGe at its relaxed geometry from the Alexandria database. Energies are from PBE-GGA.

```
4
Lattice="-3.2002 3.0205 2.8309 -0.9322 -1.1575 5.0169 1.9434 3.0384 3.7907" Properties=species:S:1:pos:R:3 pbc="T T T"
Gd -1.6417 3.6760 8.7289
Ge 0.0000 0.0000 0.0000
Y -0.5472 1.2253 2.9096
In -1.0945 2.4507 5.8193
```

Calculated values
As for the space group: No. 216. The calculation puts the total DFT energy (no corrections) at -7.482 eV per atom. Its density of states at the Fermi level is 2.79 states/eV per cell. Its energy relative to the elements is -0.51 eV/atom.

***

Record 20
Here is crystalline LiGdGeIr at its relaxed geometry from the Alexandria database. Energies are from PBE-GGA.

```
4
Lattice="4.6241 0.0000 0.0000 2.3120 4.0046 0.0000 2.3120 1.3349 3.7756" Properties=species:S:1:pos:R:3 pbc="T T T"
Ge 2.3120 1.3349 0.9439
Gd 6.9361 4.0046 2.8317
Li 4.6241 2.6697 1.8878
Ir 0.0000 0.0000 0.0000
```

Calculated values
As for the space group: No. 216. The calculation puts the total DFT energy (no corrections) at -7.919 eV per atom. Its density of states at the Fermi level is 3.42 states/eV per cell. Its energy relative to the elements is -0.55 eV/atom.